[1]
Computed, not measured: crystalline KAl2FeB at its relaxed geometry at the PBE level of DFT.

Values from the calculation:
Space group: No. 123
ΔE_f in eV per atom: 0.279
Crystal system: tetragonal

Cell and atoms, written as POSCAR:
```
KAl2FeB
1.0
4.592 0.000 0.000
0.000 4.592 0.000
0.000 0.000 4.090
K Al Fe B
1 2 1 1
Cartesian
0.000 0.000 0.000
0.000 2.296 2.045
2.296 0.000 2.045
2.296 2.296 2.045
2.296 2.296 0.000
```



[2]
Computed, not measured: crystalline MgAlFeB2 at its relaxed geometry at the PBE level of DFT.

Values from the calculation:
Space group: No. 123
ΔE_f in eV per atom: 1.628
Crystal system: tetragonal

Cell and atoms, written as POSCAR:
```
MgAlFeB2
1.0
4.082 0.000 0.000
0.000 4.082 0.000
0.000 0.000 5.021
Mg Al Fe B
1 1 1 2
Cartesian
0.000 0.000 0.000
0.000 0.000 2.511
2.041 2.041 0.000
0.000 2.041 2.511
2.041 0.000 2.511
```



[3]
Computed, not measured: crystalline Mn2AlFe5B2 at its relaxed geometry at the PBE level of DFT.

Values from the calculation:
Space group: No. 127
ΔE_f in eV per atom: -0.208
Crystal system: tetragonal

Cell and atoms, written as POSCAR:
```
Mn2AlFe5B2
1.0
8.495 0.000 0.000
0.000 8.495 0.000
0.000 0.000 2.825
Mn Al Fe B
4 2 10 4
Cartesian
1.499 2.748 0.000
2.748 6.996 0.000
5.747 1.499 0.000
6.996 5.747 0.000
0.000 0.000 0.000
4.248 4.248 0.000
0.000 4.248 1.412
0.582 6.649 1.412
1.846 0.582 1.412
2.402 4.830 1.412
3.666 2.402 1.412
4.248 0.000 1.412
4.830 6.094 1.412
6.094 3.666 1.412
6.649 7.913 1.412
7.913 1.846 1.412
1.053 5.300 0.000
3.195 1.053 0.000
5.300 7.442 0.000
7.442 3.195 0.000
```



| no. | calculated volume (Å³ per cell) |
| --- | --- |
| 1 | 86 |
| 2 | 84 |
| 3 | 204 |